1.
{
  "formula": "Sm2YHo",
  "functional": "PBE-GGA",
  "state": "optimized geometry",
  "lattice_angstrom": [[-4.8675, -1.3359, -0.0942], [0.8240, -2.7040, -4.2303], [1.0690, -4.0941, 2.8252]],
  "species": ["Ho", "Y", "Sm", "Sm"],
  "frac_coords": [[0.5000, 0.0000, 0.0000], [0.5000, 0.5000, 0.5000], [0.0000, 0.5000, 0.0000], [0.0000, 0.0000, 0.5000]],
  "vol_a3_per_cell": 130.68,
  "space_group": "P4/mmm (123)",
  "de_polymorph_ev_per_atom": 0.007,
  "energy_ev_per_atom": -5.10,
  "m_tot_mub_per_cell": 0.000
}

=====

2.
{
  "formula": "CeGa4Rh2",
  "functional": "PBE-GGA",
  "state": "optimized geometry",
  "lattice_angstrom": [[4.3360, 0.0000, 0.0000], [0.0000, 6.5575, 0.0000], [0.0000, 0.0000, 17.2395]],
  "species": ["Rh", "Ga", "Ce", "Ce", "Ga", "Ga", "Rh", "Ce", "Ga", "Rh", "Ga", "Ce", "Rh", "Ga", "Ga", "Ga", "Ga", "Ga", "Ga", "Ga", "Rh", "Rh", "Ga", "Rh", "Ga", "Ga", "Ga", "Rh"],
  "frac_coords": [[0.7500, 0.2559, 0.9622], [0.2500, 0.4948, 0.4295], [0.7500, 0.5130, 0.1396], [0.2500, 0.4870, 0.8604], [0.2500, 0.2785, 0.6890], [0.7500, 0.5052, 0.5705], [0.7500, 0.4777, 0.7166], [0.7500, 0.9870, 0.6396], [0.2500, 0.1627, 0.5358], [0.2500, 0.7441, 0.0378], [0.7500, 0.7215, 0.3110], [0.2500, 0.0130, 0.3604], [0.2500, 0.7559, 0.5378], [0.7500, 0.9948, 0.0705], [0.2500, 0.3373, 0.0358], [0.7500, 0.8373, 0.4642], [0.2500, 0.2215, 0.1890], [0.7500, 0.7785, 0.8110], [0.7500, 0.6627, 0.9642], [0.2500, 0.6803, 0.6854], [0.7500, 0.2441, 0.4622], [0.2500, 0.5223, 0.2834], [0.7500, 0.1803, 0.8146], [0.7500, 0.0223, 0.2166], [0.2500, 0.8197, 0.1854], [0.2500, 0.0052, 0.9295], [0.7500, 0.3197, 0.3146], [0.2500, 0.9777, 0.7834]],
  "vol_a3_per_cell": 490.17,
  "space_group": "Pnma (62)",
  "de_polymorph_ev_per_atom": 0.000,
  "energy_ev_per_atom": -5.36,
  "m_tot_mub_per_cell": 0.000
}

=====

3.
{
  "formula": "ScZnSi2",
  "functional": "PBE-GGA",
  "state": "optimized geometry",
  "lattice_angstrom": [[-1.0559, -1.4965, -6.9004], [-1.6470, -6.7325, 1.7121], [-3.9946, -3.4042, -2.3438]],
  "species": ["Si", "Zn", "Sc", "Si", "Si", "Zn", "Si", "Sc"],
  "frac_coords": [[0.6643, 0.1250, 0.2500], [0.0000, 0.0000, 0.0000], [0.2500, 0.7500, 0.5000], [0.0857, 0.6250, 0.2500], [0.3750, 0.3357, 0.7500], [0.7500, 0.2500, 0.5000], [0.8750, 0.9143, 0.7500], [0.5000, 0.5000, 0.0000]],
  "vol_a3_per_cell": 140.08,
  "formation_energy_uncorrected_ev_per_atom": -0.0525,
  "space_group": "I-42d (122)",
  "energy_ev_per_atom": -4.67,
  "m_tot_mub_per_cell": 0.000
}